Density functional theory data (GGA-PBE) for a relaxed structure of UBRh2.

a b c (Å): 3.1635 3.1635 7.4269
angles (deg): 77.70 77.70 60.00
Last column: nearest neighbours and their distance in Å.
Element x y z (fractional)
Rh (0.8863, 0.8863, 0.3412)  3 B 2.15
Rh (0.1137, 0.1137, 0.6588)  3 B 2.15
B (0.5000, 0.5000, 0.5000)  6 Rh 2.15
U (0.0000, 0.0000, 0.0000)  2 Rh 2.46

D(E_F) = 3.59 states/eV per cell
magnetic moment = 0.1252 μB/atom
uncorrected energy = -33.27 eV for the cell shown
crystal system = trigonal

---

Density functional theory data (GGA-PBE) for a relaxed structure of UB6Rh2.

a b c (Å): 3.2828 5.5895 5.5895
angles (deg): 70.48 73.01 73.01
Last column: nearest neighbours and their distance in Å.
Element x y z (fractional)
B (0.5000, 0.3412, 0.6588)  2 B 1.71
B (0.5000, 0.6588, 0.3412)  2 B 1.71
B (0.3033, 0.9313, 0.4501)  2 B 1.71-1.90
B (0.3033, 0.4501, 0.9313)  2 B 1.71-1.90
B (0.6967, 0.5500, 0.0687)  2 B 1.71-1.90
B (0.6967, 0.0687, 0.5499)  2 B 1.71-1.90
Rh (0.1710, 0.3399, 0.3399)  8 B 2.10-2.34
Rh (0.8290, 0.6601, 0.6601)  8 B 2.10-2.34
U (0.0000, 0.0000, 0.0000)  16 B 2.75-3.06

D(E_F) = 5.62 states/eV per cell
magnetic moment = 0.2395 μB/atom
uncorrected energy = -68.91 eV for the cell shown
crystal system = monoclinic

---

Density functional theory data (GGA-PBE) for a relaxed structure of V2BRh8.

a b c (Å): 4.3184 5.4480 7.2025
angles (deg): 112.25 107.44 90.00
Last column: nearest neighbours and their distance in Å.
Element x y z (fractional)
Rh (0.1847, 0.1845, 0.3693)  8 Rh 2.66-2.70, 4 V 2.68-2.73
Rh (0.6291, 0.3832, 0.2583)  1 B 2.14
Rh (0.3710, 0.1256, 0.7419)  1 B 2.14
Rh (0.0001, 0.2507, 0.0002)  2 B 2.55, 8 Rh 2.70-2.73, 2 V 2.74-2.75
Rh (0.6290, 0.8744, 0.2581)  1 B 2.14
Rh (0.9999, 0.7493, 0.9998)  2 B 2.55, 8 Rh 2.70-2.73, 2 V 2.74-2.75
Rh (0.3709, 0.6168, 0.7417)  1 B 2.14
Rh (0.8153, 0.8155, 0.6307)  8 Rh 2.66-2.70, 4 V 2.68-2.73
V (0.1891, 0.6890, 0.3782)  12 Rh 2.65-2.75
V (0.8109, 0.3110, 0.6218)  12 Rh 2.65-2.75
B (0.5000, 0.0000, 0.0000)  4 Rh 2.14

D(E_F) = 13.06 states/eV per cell
magnetic moment = 0.0000 μB/atom
uncorrected energy = -86.39 eV for the cell shown
crystal system = orthorhombic

---

Density functional theory data (GGA-PBE) for a relaxed structure of VBRh.

a b c (Å): 2.6657 2.6657 5.0294
angles (deg): 105.37 105.37 90.00
Last column: nearest neighbours and their distance in Å.
Element x y z (fractional)
Rh (0.3031, 0.3031, 0.6061)  4 B 2.23
V (0.0211, 0.0211, 0.0421)  4 B 2.37, 1 Rh 2.63
B (0.6759, 0.6759, 0.3518)  4 Rh 2.23, 4 V 2.37

D(E_F) = 1.81 states/eV per cell
magnetic moment = 0.0000 μB/atom
uncorrected energy = -24.04 eV for the cell shown
crystal system = tetragonal

---

Density functional theory data (GGA-PBE) for a relaxed structure of VBRh.

a b c (Å): 2.9417 4.6867 5.1944
angles (deg): 90.00 90.00 108.29
Last column: nearest neighbours and their distance in Å.
Element x y z (fractional)
B (0.3892, 0.7784, 0.7500)  2 V 2.15, 4 Rh 2.20
B (0.6108, 0.2216, 0.2500)  2 V 2.15, 4 Rh 2.20
Rh (0.0000, 0.0000, 0.0000)  4 B 2.20
Rh (0.0000, 0.0000, 0.5000)  4 B 2.20
V (0.2869, 0.5739, 0.2500)  2 B 2.15
V (0.7131, 0.4261, 0.7500)  2 B 2.15

D(E_F) = 6.44 states/eV per cell
magnetic moment = 0.0311 μB/atom
uncorrected energy = -48.50 eV for the cell shown
crystal system = orthorhombic

---

Density functional theory data (GGA-PBE) for a relaxed structure of VB2Rh.

a b c (Å): 3.1903 3.1903 4.9930
angles (deg): 71.37 71.37 60.00
Last column: nearest neighbours and their distance in Å.
Element x y z (fractional)
V (0.5000, 0.5000, 0.5000)  6 B 2.19
B (0.2512, 0.2512, 0.2464)  3 Rh 2.17, 3 V 2.19
B (0.7488, 0.7488, 0.7536)  3 Rh 2.17, 3 V 2.19
Rh (0.0000, 0.0000, 0.0000)  6 B 2.17

D(E_F) = 1.00 states/eV per cell
magnetic moment = 0.0000 μB/atom
uncorrected energy = -30.53 eV for the cell shown
crystal system = trigonal

---

Density functional theory data (GGA-PBE) for a relaxed structure of VB2Rh2.

a b c (Å): 6.2860 6.2860 2.6925
angles (deg): 90.00 90.00 90.00
Last column: nearest neighbours and their distance in Å.
Element x y z (fractional)
Rh (0.3456, 0.1544, 0.5000)  6 B 2.23-2.32
Rh (0.1544, 0.6544, 0.5000)  6 B 2.23-2.32
Rh (0.8456, 0.3456, 0.5000)  6 B 2.23-2.32
Rh (0.6544, 0.8456, 0.5000)  6 B 2.23-2.32
B (0.8538, 0.6462, 0.0000)  6 Rh 2.23-2.32, 2 V 2.41
B (0.3538, 0.8538, 0.0000)  6 Rh 2.23-2.32, 2 V 2.41
B (0.6462, 0.1462, 0.0000)  6 Rh 2.23-2.32, 2 V 2.41
B (0.1462, 0.3538, 0.0000)  6 Rh 2.23-2.32, 2 V 2.41
V (0.0000, 0.0000, 0.0000)  4 B 2.41, 2 V 2.69
V (0.5000, 0.5000, 0.0000)  4 B 2.41, 2 V 2.69

D(E_F) = 8.93 states/eV per cell
magnetic moment = 0.0000 μB/atom
uncorrected energy = -76.29 eV for the cell shown
crystal system = tetragonal

---

Density functional theory data (GGA-PBE) for a relaxed structure of VB2Rh.

a b c (Å): 4.3491 4.3491 6.2602
angles (deg): 69.67 69.67 90.00
Last column: nearest neighbours and their distance in Å.
Element x y z (fractional)
B (0.3750, 0.3455, 0.7500)  2 Rh 1.99, 2 V 2.13
B (0.0955, 0.6250, 0.2500)  2 Rh 1.99, 2 V 2.13
B (0.8750, 0.9045, 0.7500)  2 Rh 1.99, 2 V 2.13
B (0.6545, 0.1250, 0.2500)  2 Rh 1.99, 2 V 2.13
V (0.2500, 0.7500, 0.5000)  4 B 2.13
V (0.5000, 0.5000, 0.0000)  4 B 2.13
Rh (0.0000, 0.0000, 0.0000)  4 B 1.99
Rh (0.7500, 0.2500, 0.5000)  4 B 1.99

D(E_F) = 6.13 states/eV per cell
magnetic moment = 0.0000 μB/atom
uncorrected energy = -55.45 eV for the cell shown
crystal system = tetragonal

---

Listing formation energy from the elements for the structures above in their given order: -0.15, -0.32, -0.24, -0.30, -0.37, -0.18, -0.19, 0.53 eV per atom.